Here is crystalline CuAs2PbO7 at its relaxed geometry from Alexandria via LeMat-Bulk. Energies are from GGA-PBE.

Cell and atoms, written as POSCAR:
```
CuAs2PbO7
1.0
-3.406 7.723 -1.149
-2.592 -0.385 5.097
8.219 5.169 10.381
O As Cu Pb
28 8 4 4
direct
0.543 0.838 0.198
0.163 0.494 0.654
0.150 0.635 0.985
0.043 0.162 0.302
0.350 0.635 0.485
0.396 0.329 0.963
0.621 0.325 0.240
0.650 0.365 0.515
0.104 0.329 0.463
0.837 0.506 0.346
0.379 0.675 0.760
0.823 0.907 0.895
0.595 0.721 0.605
0.896 0.671 0.537
0.177 0.093 0.105
0.850 0.365 0.015
0.879 0.325 0.740
0.663 0.506 0.846
0.095 0.279 0.895
0.457 0.162 0.802
0.957 0.838 0.698
0.337 0.494 0.154
0.604 0.671 0.037
0.677 0.907 0.395
0.405 0.279 0.395
0.905 0.721 0.105
0.121 0.675 0.260
0.323 0.093 0.605
0.311 0.334 0.492
0.689 0.666 0.508
0.474 0.411 0.839
0.026 0.411 0.339
0.974 0.589 0.661
0.526 0.589 0.161
0.189 0.334 0.992
0.811 0.666 0.008
0.635 0.326 0.383
0.135 0.674 0.117
0.865 0.326 0.883
0.365 0.674 0.617
0.188 0.024 0.771
0.812 0.976 0.229
0.688 0.976 0.729
0.312 0.024 0.271
```

Values from the calculation:
Calculated total energy in eV per atom: -5.83


Here is crystalline LaMn2H7 at its relaxed geometry from Alexandria via LeMat-Bulk. Energies are from GGA-PBE.

Cell and atoms, written as POSCAR:
```
LaMn2H7
1.0
-3.291 0.119 -1.333
-1.192 -3.973 2.586
-0.743 4.698 2.255
H La Mn
7 1 2
direct
0.500 0.320 0.303
0.500 0.680 0.697
0.500 0.500 0.000
0.000 0.652 0.304
0.500 0.016 0.697
0.000 0.348 0.696
0.500 0.984 0.303
0.000 0.000 0.000
0.500 0.683 0.365
0.500 0.317 0.635
```

Values from the calculation:
DOS(E_F) in states/eV/atom: 0.36
Calculated total energy in eV per atom: -4.85